Entry 1:
Material: Si2PbSe
Method: DFT, PBE
State: relaxed

Cell: 6.971 6.971 6.971 Å, 90.00 90.00 90.00°
Space group Fm-3m (No. 225)
Unique sites:
Si1 0.250 0.250 0.250 x8
Pb1 0.000 0.000 0.000 x4
Se1 0.000 0.000 0.500 x4

Computed properties:
raw formation energy: 0.62 eV per atom
relative energy among the computed polymorphs: 0.556 eV per atom


Entry 2:
Material: Si4PbSe
Method: DFT, PBE
State: relaxed

Cell: 7.684 7.684 7.684 Å, 90.00 90.00 90.00°
Space group F-43m (No. 216)
Unique sites:
Si1 0.123 0.123 0.377 x16
Pb1 0.000 0.000 0.000 x4
Se1 0.250 0.250 0.750 x4

Computed properties:
raw formation energy: 0.52 eV per atom


Entry 3:
Material: SiPb2Se4
Method: DFT, PBE
State: relaxed

Cell: 7.093 6.894 8.607 Å, 90.00 107.54 90.00°
Space group P2_1/m (No. 11)
Unique sites:
Si1 0.214 0.250 0.294 x2
Pb1 0.227 0.750 0.058 x2
Pb2 0.268 0.750 0.561 x2
Se1 0.003 0.005 0.767 x4
Se2 0.385 0.250 0.566 x2
Se3 0.414 0.250 0.130 x2

Computed properties:
raw formation energy: -0.49 eV per atom
relative energy among the computed polymorphs: 0.034 eV per atom


Entry 4:
Material: Si2PbSe
Method: DFT, PBE
State: relaxed

Cell: 6.924 6.965 3.580 Å, 90.00 90.00 90.00°
Space group Cmmm (No. 65)
Unique sites:
Si1 0.250 0.250 0.000 x4
Pb1 0.000 0.000 0.500 x2
Se1 0.000 0.500 0.500 x2

Computed properties:
raw formation energy: 0.56 eV per atom
relative energy among the computed polymorphs: 0.496 eV per atom


Number 1: E_tot -3.89 eV per atom. Number 2: E_tot -4.29 eV per atom. Number 3: E_tot -4.32 eV per atom. Number 4: E_tot -3.95 eV per atom.